First-principles (PBE) data for a relaxed Zn3SCl crystal, as listed in the Alexandria database.

The space group is Pm-3m (No. 221) and the conventional cell measures 4.917, 4.917 and 4.917 Å, with angles of 90.00, 90.00 and 90.00 degrees. The distinct sites, in fractional coordinates, are Zn at (0.000, 0.000, 0.500), S at (0.500, 0.500, 0.500) and Cl at (0.000, 0.000, 0.000).

Its uncorrected formation energy is 0.59 eV/atom. Its relative energy among the computed polymorphs is 2.588 eV per formula unit. The crystal system is cubic. The total energy comes out at -1.37 eV/atom.

---

First-principles (PBE) data for a relaxed YZnGe crystal, as listed in the Alexandria database.

The space group is P6_3/mmc (No. 194) and the conventional cell measures 4.1883, 4.1883 and 8.0934 Å, with angles of 90.00, 90.00 and 120.00 degrees. The distinct sites, in fractional coordinates, are Y at (0.0000, 0.0000, 0.0000), Zn at (0.3333, 0.6667, 0.2500) and Ge at (0.3333, 0.6667, 0.7500).

The crystal system is hexagonal. Its formation enthalpy at 0 K is -0.648 eV per atom. The total energy comes out at -4.77 eV/atom.

---

First-principles (PBE) data for a relaxed CsFeS3 crystal, as listed in the Alexandria database.

The space group is Pm-3m (No. 221) and the conventional cell measures 5.421, 5.421 and 5.421 Å, with angles of 90.00, 90.00 and 90.00 degrees. The distinct sites, in fractional coordinates, are Cs at (0.000, 0.000, 0.000), Fe at (0.500, 0.500, 0.500) and S at (0.000, 0.000, 0.500).

Its uncorrected formation energy is 1.72 eV/atom. The crystal system is cubic. The total energy comes out at -2.62 eV/atom.

---

First-principles (PBE) data for a relaxed In2MoP crystal, as listed in the Alexandria database.

The space group is R3m (No. 160, hexagonal axes) and the conventional cell measures 3.2403, 3.2403 and 26.9575 Å, with angles of 90.00, 90.00 and 120.00 degrees. The distinct sites, in fractional coordinates, are In at (0.0000, 0.0000, 0.0000), In at (0.0000, 0.0000, 0.2337), Mo at (0.0000, 0.0000, 0.7512) and P at (0.0000, 0.0000, 0.4733).

The crystal system is trigonal. Its formation enthalpy at 0 K is 0.014 eV per atom. The total energy comes out at -5.42 eV/atom.

---

First-principles (PBE) data for a relaxed ZnInAuCl crystal, as listed in the Alexandria database.

The space group is Cm (No. 8) and the conventional cell measures 15.796, 3.468 and 3.995 Å, with angles of 90.00, 102.95 and 90.00 degrees. The distinct sites, in fractional coordinates, are Zn at (0.000, 0.000, 0.000), In at (0.196, 0.000, 0.698), Au at (0.127, 0.500, 0.138) and Cl at (0.388, 0.000, 0.871).

Its uncorrected formation energy is -0.33 eV/atom. Its relative energy among the computed polymorphs is 0.291 eV per formula unit. The crystal system is monoclinic. The total energy comes out at -2.61 eV/atom.

---

First-principles (PBE) data for a relaxed PrDy3Ni2 crystal, as listed in the Alexandria database.

The space group is C2/m (No. 12) and the conventional cell measures 16.060, 4.065 and 12.546 Å, with angles of 90.00, 128.99 and 90.00 degrees. The distinct sites, in fractional coordinates, are Pr at (0.132, 0.000, 0.241), Dy at (0.077, 0.500, 0.431), Dy at (0.129, 0.500, 0.940), Dy at (0.152, 0.000, 0.703), Ni at (0.234, 0.000, 0.545) and Ni at (0.236, 0.000, 0.122).

The crystal system is monoclinic. Its formation enthalpy at 0 K is -0.208 eV per atom. The total energy comes out at -5.23 eV/atom.

---

First-principles (PBE) data for a relaxed CrBiPCl2 crystal, as listed in the Alexandria database.

The space group is P4/mmm (No. 123) and the conventional cell measures 5.329, 5.329 and 5.491 Å, with angles of 90.00, 90.00 and 90.00 degrees. The distinct sites, in fractional coordinates, are Cr at (0.000, 0.000, 0.000), Bi at (0.500, 0.500, 0.500), P at (0.500, 0.500, 0.000) and Cl at (0.000, 0.500, 0.500).

Its uncorrected formation energy is 0.44 eV/atom. Its relative energy among the computed polymorphs is 2.787 eV per formula unit. The crystal system is tetragonal. The total energy comes out at -4.08 eV/atom.

---

First-principles (PBE) data for a relaxed Np2SeF4 crystal, as listed in the Alexandria database.

The space group is P4_2/mnm (No. 136) and the conventional cell measures 7.533, 7.533 and 3.924 Å, with angles of 90.00, 90.00 and 90.00 degrees. The distinct sites, in fractional coordinates, are Np at (0.219, 0.219, 0.000), Se at (0.000, 0.000, 0.500) and F at (0.089, 0.668, 0.000).

Its uncorrected formation energy is -2.88 eV/atom. The crystal system is tetragonal. The total energy comes out at -8.14 eV/atom.